1.
This record from the Alexandria database describes NbCIN2 at its PBEsol-relaxed geometry. The functional is SCAN.

Formation energy without anion corrections = 12.4 eV per formula unit
Crystal system = tetragonal
Fermi-level density of states = 3.6 states/eV per cell

Cell lengths 3.876, 3.876, 4.118 Å; angles 90.00, 90.00, 90.00 degrees
Fractional positions:
I: 0.000 0.000 0.500
Nb: 0.500 0.500 0.500
C: 0.000 0.000 0.000
N: 0.000 0.500 0.000
N: 0.500 0.000 0.000


2.
This record from the Alexandria database describes NiCIN2 at its PBEsol-relaxed geometry. The functional is SCAN.

Formation energy without anion corrections = 11.8 eV per formula unit
Crystal system = tetragonal
Fermi-level density of states = 2.8 states/eV per cell

Cell lengths 3.282, 3.282, 6.737 Å; angles 90.00, 90.00, 90.00 degrees
Last column: magnetic moment on the atom in μB.
Fractional positions:
I: 0.000 0.000 0.500  0.00
Ni: 0.500 0.500 0.500  0.04
C: 0.000 0.000 0.000  -0.05
N: 0.000 0.500 0.000  0.23
N: 0.500 0.000 0.000  0.23


3.
This record from the Alexandria database describes RhCIN2 at its PBEsol-relaxed geometry. The functional is SCAN.

Formation energy without anion corrections = 12.9 eV per formula unit
Crystal system = tetragonal
Fermi-level density of states = 2.2 states/eV per cell

Cell lengths 3.613, 3.613, 4.569 Å; angles 90.00, 90.00, 90.00 degrees
Last column: magnetic moment on the atom in μB.
Fractional positions:
I: 0.000 0.000 0.500  0.07
C: 0.000 0.000 0.000  -0.04
Rh: 0.500 0.500 0.500  -0.07
N: 0.000 0.500 0.000  0.95
N: 0.500 0.000 0.000  0.95


4.
This record from the Alexandria database describes ScCI2N at its PBEsol-relaxed geometry. The functional is SCAN.

Formation energy without anion corrections = 5.6 eV per formula unit
Crystal system = tetragonal
Fermi-level density of states = 2.8 states/eV per cell

Cell lengths 2.739, 6.236, 6.236 Å; angles 90.00, 90.00, 90.00 degrees
Last column: magnetic moment on the atom in μB.
Fractional positions:
I: 0.000 0.000 0.500  0.02
I: 0.000 0.500 0.000  0.02
Sc: 0.500 0.500 0.500  0.35
C: 0.000 0.000 0.000  0.34
N: 0.500 0.000 0.000  -0.01


5.
This record from the Alexandria database describes TcCI2N at its PBEsol-relaxed geometry. The functional is SCAN.

Formation energy without anion corrections = 10.3 eV per formula unit
Crystal system = tetragonal
Fermi-level density of states = 2.1 states/eV per cell

Cell lengths 3.891, 5.084, 5.084 Å; angles 90.00, 90.00, 90.00 degrees
Last column: magnetic moment on the atom in μB.
Fractional positions:
I: 0.000 0.000 0.500  0.11
I: 0.000 0.500 0.000  0.11
C: 0.000 0.000 0.000  -0.09
Tc: 0.500 0.000 0.000  1.28
N: 0.500 0.500 0.500  1.82


6.
This record from the Alexandria database describes WCIN2 at its PBEsol-relaxed geometry. The functional is SCAN.

Formation energy without anion corrections = 8.1 eV per formula unit
Crystal system = tetragonal
Fermi-level density of states = 2.1 states/eV per cell

Cell lengths 3.829, 3.829, 5.743 Å; angles 90.00, 90.00, 90.00 degrees
Last column: magnetic moment on the atom in μB.
Fractional positions:
I: 0.000 0.000 0.500  -0.13
C: 0.500 0.500 0.500  0.77
W: 0.000 0.000 0.000  0.28
N: 0.000 0.500 0.000  -0.03
N: 0.500 0.000 0.000  -0.03


7.
This record from the Alexandria database describes Na2CI at its PBEsol-relaxed geometry. The functional is SCAN.

Formation energy without anion corrections = 2.1 eV per formula unit
Crystal system = cubic

Cell lengths 5.173, 5.173, 5.173 Å; angles 60.00, 60.00, 60.00 degrees
Last column: magnetic moment on the atom in μB.
Fractional positions:
I: 0.500 0.500 0.500  0.13
Na: 0.250 0.250 0.250  0.01
Na: 0.750 0.750 0.750  0.01
C: 0.000 0.000 0.000  1.19


8.
This record from the Alexandria database describes NaC2IO at its PBEsol-relaxed geometry. The functional is SCAN.

Formation energy without anion corrections = 13.2 eV per formula unit
Crystal system = tetragonal
Fermi-level density of states = 2.3 states/eV per cell

Cell lengths 3.986, 4.432, 4.432 Å; angles 90.00, 90.00, 90.00 degrees
Last column: magnetic moment on the atom in μB.
Fractional positions:
I: 0.500 0.500 0.500  -0.11
Na: 0.000 0.000 0.000  0.05
C: 0.000 0.000 0.500  0.84
C: 0.000 0.500 0.000  0.84
O: 0.500 0.000 0.000  1.02


9.
This record from the Alexandria database describes NaTeCI2 at its PBEsol-relaxed geometry. The functional is SCAN.

Formation energy without anion corrections = 7.5 eV per formula unit
Crystal system = tetragonal
Fermi-level density of states = 2.8 states/eV per cell

Cell lengths 5.664, 5.664, 5.789 Å; angles 90.00, 90.00, 90.00 degrees
Last column: magnetic moment on the atom in μB.
Fractional positions:
I: 0.000 0.500 0.000  -0.30
I: 0.500 0.000 0.000  -0.30
Na: 0.000 0.000 0.000  0.00
C: 0.500 0.500 0.500  0.92
Te: 0.000 0.000 0.500  -1.04


10.
This record from the Alexandria database describes NbC3I at its PBEsol-relaxed geometry. The functional is SCAN.

Formation energy without anion corrections = 16.2 eV per formula unit
Crystal system = cubic
Fermi-level density of states = 3.3 states/eV per cell

Cell lengths 4.018, 4.018, 4.018 Å; angles 90.00, 90.00, 90.00 degrees
Fractional positions:
I: 0.000 0.000 0.000
Nb: 0.500 0.500 0.500
C: 0.000 0.500 0.000
C: 0.000 0.000 0.500
C: 0.500 0.000 0.000


11.
This record from the Alexandria database describes NbPb2CI at its PBEsol-relaxed geometry. The functional is SCAN.

Formation energy without anion corrections = 10.6 eV per formula unit
Crystal system = tetragonal
Fermi-level density of states = 5.3 states/eV per cell

Cell lengths 4.046, 5.874, 5.874 Å; angles 90.00, 90.00, 90.00 degrees
Last column: magnetic moment on the atom in μB.
Fractional positions:
Pb: 0.000 0.000 0.500  0.00
Pb: 0.000 0.500 0.000  0.00
I: 0.000 0.000 0.000  0.03
Nb: 0.500 0.500 0.500  2.37
C: 0.500 0.000 0.000  0.09


12.
This record from the Alexandria database describes NbSb2CI at its PBEsol-relaxed geometry. The functional is SCAN.

Formation energy without anion corrections = 8.3 eV per formula unit
Crystal system = tetragonal
Fermi-level density of states = 4.6 states/eV per cell

Cell lengths 5.310, 5.310, 5.351 Å; angles 90.00, 90.00, 90.00 degrees
Last column: magnetic moment on the atom in μB.
Fractional positions:
I: 0.000 0.000 0.500  0.00
Sb: 0.000 0.500 0.000  -0.06
Sb: 0.500 0.000 0.000  -0.06
Nb: 0.000 0.000 0.000  0.24
C: 0.500 0.500 0.500  1.04